This record from Alexandria describes LaMo2Pt after structural relaxation. The functional is PBE.

Cell and atoms, written as POSCAR:
```
LaMo2Pt
1.0
1.599 0.923 9.017
-1.599 0.923 9.017
0.000 -1.846 9.017
La Mo Pt
1 2 1
Direct
0.000 0.000 0.000 La
0.497 0.497 0.497 Mo
0.765 0.765 0.765 Mo
0.239 0.239 0.239 Pt
```

The crystal system is trigonal. Its space group is No. 160.

---

This record from Alexandria describes LaMo2Pt after structural relaxation. The functional is PBE.

Cell and atoms, written as POSCAR:
```
LaMo2Pt
1.0
3.580 0.000 0.000
0.000 4.890 0.000
-0.416 0.000 4.668
La Mo Pt
1 2 1
Direct
0.000 0.000 0.000 La
0.325 0.500 0.776 Mo
0.675 0.500 0.224 Mo
0.500 0.000 0.500 Pt
```

The crystal system is monoclinic. Its space group is No. 10.

---

| no. | DFT formation energy (eV per atom) | energy above the lowest structure with this stoichiometry (eV/atom) |
| --- | --- | --- |
| 1 | 0.285 | 0.314 |
| 2 | 0.259 | 0.288 |